Entry 1:
VASP calculation (PBE) on SrRhCl after structural relaxation.

Unit cell a=4.908 b=4.908 c=8.963 alpha=90.00 beta=90.00 gamma=120.00
Atoms (fractional coordinates):
Rh: 0.000 0.000 0.000
Rh: 0.000 0.000 0.500
Sr: 0.333 0.667 0.250
Sr: 0.667 0.333 0.750
Cl: 0.000 0.000 0.250
Cl: 0.000 0.000 0.750

Summary:
Energy relative to the elements, uncorrected, eV/f.u.: -1.33
Calculated volume, Å³/cell: 187


Entry 2:
VASP calculation (PBE) on CaLa2In after structural relaxation.

Unit cell a=5.101 b=5.101 c=5.069 alpha=90.00 beta=90.00 gamma=90.00
Atoms (fractional coordinates):
In: 0.000 0.500 0.500
La: 0.000 0.000 0.000
La: 0.500 0.500 0.000
Ca: 0.500 0.000 0.500

Summary:
ΔH_f (0 K), eV per atom: -0.248
Calculated volume, Å³/cell: 132


Entry 3:
VASP calculation (PBE) on NbGaO2 after structural relaxation.

Unit cell a=5.362 b=5.362 c=6.487 alpha=65.59 beta=65.59 gamma=90.00
Last column: magnetic moment on the atom in μB.
Atoms (fractional coordinates):
O: 0.784 0.125 0.250  -0.01
O: 0.875 0.034 0.750  -0.01
O: 0.375 0.216 0.750  -0.01
O: 0.966 0.625 0.250  -0.01
Nb: 0.750 0.250 0.500  0.21
Nb: 0.000 0.000 0.000  0.20
Ga: 0.500 0.500 0.000  -0.01
Ga: 0.250 0.750 0.500  -0.02

Summary:
Energy relative to the elements, uncorrected, eV/f.u.: -5.33
Calculated volume, Å³/cell: 151


Question: What is the formula in the first record?
Answer: SrRhCl